# 1
This record from OQMD describes a relaxed Y2HoAl3Cu2Ni crystal. The functional is PBE.

a b c (Å): 3.9145 7.0312 7.0312
angles (deg): 119.93 90.00 90.00
Last column: nearest neighbours and their distance in Å.
Element x y z (fractional)
Al: 0.5000 0.0003 0.2323  2 Ni 2.55, 2 Cu 2.77-2.78, 2 Al 2.82-2.83
Ho: 0.0000 0.4123 0.4123  4 Cu 2.88, 1 Ni 2.90, 6 Al 3.18-3.19
Y: 0.0000 0.0000 0.5874  4 Cu 2.89, 1 Ni 2.90, 6 Al 3.17-3.19
Ni: 0.0000 0.0006 0.0006  6 Al 2.55
Cu: 0.5000 0.3336 0.6660  3 Al 2.76-2.78, 2 Ho 2.88, 4 Y 2.89
Y: 0.0000 0.5874 0.0000  4 Cu 2.89, 1 Ni 2.90, 6 Al 3.17-3.19
Cu: 0.5000 0.6660 0.3336  3 Al 2.76-2.78, 2 Ho 2.88, 4 Y 2.89
Al: 0.5000 0.2323 0.0003  2 Ni 2.55, 2 Cu 2.77-2.78, 2 Al 2.82-2.83
Al: 0.5000 0.7675 0.7675  2 Ni 2.55, 2 Cu 2.76, 2 Al 2.83

Computed properties:
Space-group type ... No. 38


# 2
This record from OQMD describes a relaxed HoZr2Al3Cu2Ni crystal. The functional is PBE.

a b c (Å): 3.8971 6.7628 6.7628
angles (deg): 119.73 90.00 90.00
Last column: nearest neighbours and their distance in Å.
Element x y z (fractional)
Zr: 0.0000 0.0026 0.5935  1 Ni 2.74, 4 Cu 2.80-2.83, 4 Al 3.06
Ni: 0.0000 0.9943 0.9943  6 Al 2.49-2.56, 2 Zr 2.74
Al: 0.5000 0.2387 0.9919  2 Cu 2.54-2.67, 2 Ni 2.56, 1 Al 2.78
Ho: 0.0000 0.4119 0.4119  1 Ni 2.84, 4 Cu 2.85, 6 Al 3.09-3.15
Cu: 0.5000 0.3308 0.6709  3 Al 2.54-2.68, 4 Zr 2.80-2.83
Cu: 0.5000 0.6709 0.3308  3 Al 2.54-2.68, 4 Zr 2.80-2.83
Zr: 0.0000 0.5935 0.0026  1 Ni 2.74, 4 Cu 2.80-2.83, 4 Al 3.06
Al: 0.5000 0.9919 0.2387  2 Cu 2.54-2.67, 2 Ni 2.56, 1 Al 2.78
Al: 0.5000 0.7654 0.7654  2 Ni 2.49, 2 Cu 2.68, 2 Al 2.78

Computed properties:
Space-group type ... No. 38


# 3
This record from OQMD describes a relaxed Ho2Al4CuPd crystal. The functional is PBE.

a b c (Å): 6.8021 5.5046 5.5046
angles (deg): 45.93 90.00 90.00
Last column: nearest neighbours and their distance in Å.
Element x y z (fractional)
Cu: 0.5000 0.7911 0.7911  6 Al 2.56-2.62, 1 Ho 2.86
Ho: 0.5000 0.0734 0.0734  3 Cu 2.86-3.08, 4 Al 3.04
Al: 0.3050 0.3615 0.3615  1 Pd 2.59, 2 Cu 2.62, 1 Al 2.65
Pd: 0.0000 0.2084 0.2084  6 Al 2.59-2.64, 1 Ho 2.86
Ho: 0.0000 0.9260 0.9260  3 Pd 2.86-3.08, 4 Al 3.06
Al: 0.8000 0.6391 0.6391  1 Cu 2.56, 2 Pd 2.64, 1 Al 2.72
Al: 0.2000 0.6391 0.6391  1 Cu 2.56, 2 Pd 2.64, 1 Al 2.72
Al: 0.6950 0.3615 0.3615  1 Pd 2.59, 2 Cu 2.62, 1 Al 2.65

Computed properties:
Space-group type ... No. 38


# 4
This record from OQMD describes a relaxed YHo2Al3Cu2Pd crystal. The functional is PBE.

a b c (Å): 4.0794 7.0322 7.0322
angles (deg): 120.11 90.00 90.00
Last column: nearest neighbours and their distance in Å.
Element x y z (fractional)
Al: 0.5000 0.7608 0.7608  2 Pd 2.63, 2 Cu 2.75, 2 Al 2.91
Cu: 0.5000 0.6692 0.3322  3 Al 2.72-2.75, 4 Ho 2.92-2.93, 2 Y 2.95
Cu: 0.5000 0.3322 0.6692  3 Al 2.72-2.75, 4 Ho 2.92-2.93, 2 Y 2.95
Al: 0.5000 0.0003 0.2390  2 Pd 2.65, 2 Cu 2.72-2.74, 2 Al 2.91
Pd: 0.0000 0.9975 0.9975  6 Al 2.63-2.65, 2 Ho 2.93
Y: 0.0000 0.4184 0.4184  4 Cu 2.95, 1 Pd 2.95, 6 Al 3.15-3.27
Ho: 0.0000 0.0002 0.5826  4 Cu 2.92-2.93, 1 Pd 2.93, 6 Al 3.16-3.27
Al: 0.5000 0.2390 0.0003  2 Pd 2.65, 2 Cu 2.72-2.74, 2 Al 2.91
Ho: 0.0000 0.5826 0.0002  4 Cu 2.92-2.93, 1 Pd 2.93, 6 Al 3.16-3.27

Computed properties:
Space-group type ... No. 38


# 5
This record from OQMD describes a relaxed Y2HoAl3Cu2Pd crystal. The functional is PBE.

a b c (Å): 4.0109 7.1067 7.1067
angles (deg): 119.89 90.00 90.00
Last column: nearest neighbours and their distance in Å.
Element x y z (fractional)
Y: 0.0000 0.9999 0.5808  4 Cu 2.93, 1 Pd 2.99, 6 Al 3.14-3.28
Al: 0.5000 0.7583 0.7583  2 Pd 2.65, 2 Cu 2.75
Cu: 0.5000 0.3341 0.6649  3 Al 2.75-2.77, 2 Ho 2.91, 4 Y 2.93
Al: 0.5000 0.2415 0.0003  2 Pd 2.63, 2 Cu 2.75-2.77
Cu: 0.5000 0.6649 0.3341  3 Al 2.75-2.77, 2 Ho 2.91, 4 Y 2.93
Ho: 0.0000 0.4185 0.4185  4 Cu 2.91, 1 Pd 2.97, 2 Al 3.14
Al: 0.5000 0.0003 0.2415  2 Pd 2.63, 2 Cu 2.75-2.77
Pd: 0.0000 0.0018 0.0018  6 Al 2.63-2.65
Y: 0.0000 0.5808 0.9999  4 Cu 2.93, 1 Pd 2.99, 6 Al 3.14-3.28

Computed properties:
Space-group type ... No. 38


# 6
This record from OQMD describes a relaxed PrHo2Al7Cu2 crystal. The functional is PBE.

a b c (Å): 9.1109 9.1109 9.1109
angles (deg): 35.26 35.26 35.26
Last column: nearest neighbours and their distance in Å.
Element x y z (fractional)
Pr: 0.0000 0.0000 0.0000  6 Cu 3.19, 12 Al 3.43
Cu: 0.6648 0.6648 0.6648  6 Al 2.57-2.61
Ho: 0.8579 0.8579 0.8579  12 Al 3.19-3.26, 3 Ho 3.43
Al: 0.5000 0.5000 0.5000  6 Al 2.76
Al: 0.5828 0.0733 0.5828  2 Cu 2.57-2.61, 5 Al 2.71-2.81
Al: 0.9267 0.4172 0.4172  2 Cu 2.57-2.61, 5 Al 2.71-2.81
Al: 0.0733 0.5828 0.5828  2 Cu 2.57-2.61, 5 Al 2.71-2.81
Al: 0.5828 0.5828 0.0733  2 Cu 2.57-2.61, 5 Al 2.71-2.81
Cu: 0.3352 0.3352 0.3352  6 Al 2.57-2.61
Al: 0.4172 0.9267 0.4172  2 Cu 2.57-2.61, 5 Al 2.71-2.81
Al: 0.4172 0.4172 0.9267  2 Cu 2.57-2.61, 5 Al 2.71-2.81
Ho: 0.1421 0.1421 0.1421  12 Al 3.19-3.26, 3 Ho 3.43

Computed properties:
Space-group type ... No. 166


Number 1: raw total energy -5.15 eV per atom. Number 2: raw total energy -5.60 eV per atom. Number 3: raw total energy -4.76 eV per atom. Number 4: raw total energy -4.97 eV per atom. Number 5: raw total energy -5.18 eV per atom. Number 6: raw total energy -4.46 eV per atom.